1.
This record from Alexandria via LeMat-Bulk describes a relaxed SrAlZn2Au4 crystal. The functional is PBE-GGA.

VASP energy	-73.06	eV per cell
total moment	0.0	μB/cell

abc: 4.5038 4.5038 27.4727
angles: 90.00 90.00 120.00
With the nearest neighbours (Å) after each atom.
Space group R-3m (No. 166, hexagonal axes)
Symmetry-distinct sites (fractional):
Sr: 0.0000 0.0000 0.0000  6 Au 3.25, 6 Zn 3.58
Al: 0.0000 0.0000 0.5000  8 Au 2.63-2.73
Zn: 0.0000 0.0000 0.2439  7 Au 2.65-2.96
Au: 0.0000 0.0000 0.1360  3 Al 2.73, 4 Zn 2.90-2.96
Au: 0.0000 0.0000 0.4044  1 Al 2.63, 3 Zn 2.65


2.
This record from Alexandria via LeMat-Bulk describes a relaxed Tb15Dy2Th2 crystal. The functional is PBE-GGA.

VASP energy	-263.60	eV per cell
total moment	0.0	μB/cell

abc: 11.0898 11.0898 17.8914
angles: 90.00 90.00 120.00
With the nearest neighbours (Å) after each atom.
Space group R-3m (No. 166, hexagonal axes)
Symmetry-distinct sites (fractional):
Tb: 0.0000 0.2997 0.0000  6 Tb 3.28-3.43, 2 Th 3.67
Tb: 0.0000 0.5000 0.5000  8 Tb 3.32-3.43, 2 Th 3.50
Tb: 0.0140 0.5070 0.1348  6 Tb 3.27-3.32
Dy: 0.0000 0.0000 0.3159  15 Tb 3.91-4.17, 1 Th 4.09
Th: 0.0000 0.0000 0.0871  1 Th 3.12